[1]
# PBE-GGA MgMnW2, relaxed
# space group = No. 12
# crystal system = monoclinic
# E_form = 392 meV/atom
# total DFT energy (no corrections) = -35.1 eV for the cell shown
# volume = 61.7 Å³ per cell
data_MgMnW2
_chemical_formula_sum 'Mg1 Mn1 W2'
_cell_length_a 5.235
_cell_length_b 5.235
_cell_length_c 2.684
_cell_angle_alpha 98.94
_cell_angle_beta 98.94
_cell_angle_gamma 118.34
_symmetry_space_group_name_H-M 'P 1'
_symmetry_Int_Tables_number 1
loop_
_symmetry_equiv_pos_as_xyz
'x,y,z'
loop_
_atom_site_label
_atom_site_type_symbol
_atom_site_fract_x
_atom_site_fract_y
_atom_site_fract_z
Mg1 Mg 0.000 0.000 0.000
Mn1 Mn 0.500 0.500 0.000
W1 W 0.000 0.500 0.500
W2 W 0.500 0.000 0.500

[2]
# PBE-GGA Mg2MnW, relaxed
# space group = No. 8
# crystal system = monoclinic
# E_form = 423 meV/atom
# total DFT energy (no corrections) = -23.6 eV for the cell shown
# ΔE to the lowest computed polymorph = 206 meV/atom
# volume = 67.1 Å³ per cell
data_Mg2MnW
_chemical_formula_sum 'Mg2 Mn1 W1'
_cell_length_a 4.760
_cell_length_b 4.760
_cell_length_c 5.343
_cell_angle_alpha 95.32
_cell_angle_beta 95.32
_cell_angle_gamma 33.83
_symmetry_space_group_name_H-M 'P 1'
_symmetry_Int_Tables_number 1
loop_
_symmetry_equiv_pos_as_xyz
'x,y,z'
loop_
_atom_site_label
_atom_site_type_symbol
_atom_site_fract_x
_atom_site_fract_y
_atom_site_fract_z
Mg1 Mg 0.000 0.000 0.000
Mg2 Mg 0.243 0.243 0.750
Mn1 Mn 0.496 0.496 0.460
W1 W 0.751 0.751 0.278